{"formula": "PmCd4Hg3", "functional": "PBE", "state": "relaxed", "magnetic_moment_mub_per_cell": 0.00, "e_form_ev_per_atom": -0.179, "n_ef_per_ev_fu": 3.95, "final_energy_ev_per_atom": -1.3440, "lattice_angstrom": [[4.206, -2.560, 0.000], [4.206, 2.560, 0.000], [-2.215, 0.000, 9.004]], "species": ["Pm", "Cd", "Cd", "Cd", "Cd", "Hg", "Hg", "Hg"], "fractional_positions": [[0.000, 0.000, 0.000], [0.116, 0.116, 0.378], [0.263, 0.263, 0.765], [0.737, 0.737, 0.235], [0.884, 0.884, 0.622], [0.375, 0.375, 0.152], [0.500, 0.500, 0.500], [0.625, 0.625, 0.848]]}

---

{"formula": "PmCd4Hg4", "functional": "PBE", "state": "relaxed", "magnetic_moment_mub_per_cell": 0.00, "e_form_ev_per_atom": -0.156, "n_ef_per_ev_fu": 4.06, "final_energy_ev_per_atom": -1.2248, "lattice_angstrom": [[-4.998, 4.998, 2.192], [4.998, -4.998, 2.192], [4.998, 4.998, -2.192]], "species": ["Pm", "Cd", "Cd", "Cd", "Cd", "Hg", "Hg", "Hg", "Hg"], "fractional_positions": [[0.000, 0.000, 0.000], [0.000, 0.339, 0.339], [0.000, 0.661, 0.661], [0.339, 0.000, 0.339], [0.661, 0.000, 0.661], [0.329, 0.329, 0.659], [0.329, 0.671, 0.000], [0.671, 0.329, 0.000], [0.671, 0.671, 0.341]]}

---

{"formula": "Pm2CdHg", "functional": "PBE", "state": "relaxed", "magnetic_moment_mub_per_cell": 0.95, "e_form_ev_per_atom": -0.394, "n_ef_per_ev_fu": 4.10, "final_energy_ev_per_atom": -3.0732, "lattice_angstrom": [[0.000, 3.820, 3.820], [3.820, 0.000, 3.820], [3.820, 3.820, 0.000]], "species": ["Pm", "Pm", "Cd", "Hg"], "fractional_positions": [[0.250, 0.250, 0.250], [0.750, 0.750, 0.750], [0.000, 0.000, 0.000], [0.500, 0.500, 0.500]]}

---

{"formula": "Pm2Cd5Hg3", "functional": "PBE", "state": "relaxed", "magnetic_moment_mub_per_cell": 0.00, "e_form_ev_per_atom": -0.204, "n_ef_per_ev_fu": 5.23, "final_energy_ev_per_atom": -1.7018, "lattice_angstrom": [[-6.292, 6.411, 3.144], [6.292, -6.411, 3.144], [6.292, 6.411, -3.144]], "species": ["Pm", "Pm", "Pm", "Pm", "Cd", "Cd", "Cd", "Cd", "Cd", "Cd", "Cd", "Cd", "Cd", "Cd", "Hg", "Hg", "Hg", "Hg", "Hg", "Hg"], "fractional_positions": [[0.247, 0.124, 0.372], [0.253, 0.624, 0.877], [0.747, 0.376, 0.123], [0.753, 0.876, 0.628], [0.139, 0.871, 0.010], [0.250, 0.505, 0.255], [0.250, 0.750, 0.500], [0.250, 0.995, 0.745], [0.361, 0.371, 0.732], [0.639, 0.629, 0.268], [0.750, 0.005, 0.255], [0.750, 0.250, 0.500], [0.750, 0.495, 0.745], [0.861, 0.129, 0.990], [0.149, 0.377, 0.526], [0.250, 0.250, 0.000], [0.351, 0.877, 0.228], [0.649, 0.123, 0.772], [0.750, 0.750, 0.000], [0.851, 0.623, 0.474]]}

---

{"formula": "PmCd4Hg4", "functional": "PBE", "state": "relaxed", "magnetic_moment_mub_per_cell": 0.00, "e_form_ev_per_atom": -0.092, "n_ef_per_ev_fu": 5.38, "final_energy_ev_per_atom": -1.1603, "lattice_angstrom": [[6.683, 0.000, 0.000], [0.000, 6.683, 0.000], [0.000, 0.000, 10.119]], "species": ["Pm", "Pm", "Cd", "Cd", "Cd", "Cd", "Cd", "Cd", "Cd", "Cd", "Hg", "Hg", "Hg", "Hg", "Hg", "Hg", "Hg", "Hg"], "fractional_positions": [[0.250, 0.750, 0.250], [0.750, 0.250, 0.750], [0.037, 0.250, 0.188], [0.250, 0.037, 0.688], [0.250, 0.463, 0.688], [0.463, 0.250, 0.188], [0.537, 0.750, 0.812], [0.750, 0.537, 0.312], [0.750, 0.963, 0.312], [0.963, 0.750, 0.812], [0.001, 0.750, 0.520], [0.250, 0.501, 0.980], [0.250, 0.999, 0.980], [0.499, 0.750, 0.520], [0.501, 0.250, 0.480], [0.750, 0.001, 0.020], [0.750, 0.499, 0.020], [0.999, 0.250, 0.480]]}

---

{"formula": "PmCd6Hg6", "functional": "PBE", "state": "relaxed", "magnetic_moment_mub_per_cell": 0.00, "e_form_ev_per_atom": -0.079, "n_ef_per_ev_fu": 5.80, "final_energy_ev_per_atom": -1.0062, "lattice_angstrom": [[-3.126, 4.944, 5.031], [3.126, -4.944, 5.031], [3.126, 4.944, -5.031]], "species": ["Pm", "Cd", "Cd", "Cd", "Cd", "Cd", "Cd", "Hg", "Hg", "Hg", "Hg", "Hg", "Hg"], "fractional_positions": [[0.000, 0.000, 0.000], [0.000, 0.000, 0.500], [0.000, 0.500, 0.000], [0.243, 0.500, 0.743], [0.500, 0.000, 0.000], [0.500, 0.500, 0.500], [0.757, 0.500, 0.257], [0.175, 0.675, 0.500], [0.334, 0.334, 0.000], [0.349, 0.000, 0.349], [0.651, 0.000, 0.651], [0.666, 0.666, 0.000], [0.825, 0.325, 0.500]]}

---

{"formula": "PmCd2Hg9", "functional": "PBE", "state": "relaxed", "magnetic_moment_mub_per_cell": 0.00, "e_form_ev_per_atom": -0.099, "n_ef_per_ev_fu": 6.33, "final_energy_ev_per_atom": -0.8739, "lattice_angstrom": [[4.821, 0.000, 0.000], [0.000, 4.821, 0.000], [0.000, 0.000, 12.829]], "species": ["Pm", "Cd", "Cd", "Hg", "Hg", "Hg", "Hg", "Hg", "Hg", "Hg", "Hg", "Hg"], "fractional_positions": [[0.000, 0.000, 0.000], [0.000, 0.000, 0.337], [0.000, 0.000, 0.663], [0.000, 0.500, 0.173], [0.000, 0.500, 0.500], [0.000, 0.500, 0.827], [0.500, 0.000, 0.173], [0.500, 0.000, 0.500], [0.500, 0.000, 0.827], [0.500, 0.500, 0.000], [0.500, 0.500, 0.336], [0.500, 0.500, 0.664]]}

---

{"formula": "PmCd5Hg6", "functional": "PBE", "state": "relaxed", "magnetic_moment_mub_per_cell": 0.00, "e_form_ev_per_atom": -0.116, "n_ef_per_ev_fu": 3.89, "final_energy_ev_per_atom": -1.0446, "lattice_angstrom": [[2.312, -7.110, 0.000], [2.312, 7.110, 0.000], [0.000, 0.000, 8.794]], "species": ["Pm", "Cd", "Cd", "Cd", "Cd", "Cd", "Hg", "Hg", "Hg", "Hg", "Hg", "Hg"], "fractional_positions": [[0.000, 0.000, 0.000], [0.000, 0.000, 0.500], [0.328, 0.672, 0.000], [0.330, 0.670, 0.500], [0.670, 0.330, 0.500], [0.672, 0.328, 0.000], [0.167, 0.833, 0.254], [0.167, 0.833, 0.746], [0.500, 0.500, 0.261], [0.500, 0.500, 0.739], [0.833, 0.167, 0.254], [0.833, 0.167, 0.746]]}

---

{"formula": "PmCdHg4", "functional": "PBE", "state": "relaxed", "magnetic_moment_mub_per_cell": 0.00, "e_form_ev_per_atom": -0.057, "n_ef_per_ev_fu": 4.01, "final_energy_ev_per_atom": -1.2030, "lattice_angstrom": [[0.000, 4.256, 4.256], [4.256, 0.000, 4.256], [4.256, 4.256, 0.000]], "species": ["Pm", "Cd", "Hg", "Hg", "Hg", "Hg"], "fractional_positions": [[0.000, 0.000, 0.000], [0.750, 0.750, 0.750], [0.375, 0.375, 0.375], [0.375, 0.375, 0.875], [0.375, 0.875, 0.375], [0.875, 0.375, 0.375]]}

---

{"formula": "PmPr2CdHg4", "functional": "PBE", "state": "relaxed", "magnetic_moment_mub_per_cell": 0.00, "e_form_ev_per_atom": -0.439, "n_ef_per_ev_fu": 6.10, "final_energy_ev_per_atom": -2.4929, "lattice_angstrom": [[2.631, 1.519, 9.061], [-2.631, 1.519, 9.061], [0.000, -3.038, 9.061]], "species": ["Pm", "Pr", "Pr", "Cd", "Hg", "Hg", "Hg", "Hg"], "fractional_positions": [[0.000, 0.000, 0.000], [0.240, 0.240, 0.240], [0.760, 0.760, 0.760], [0.500, 0.500, 0.500], [0.122, 0.122, 0.122], [0.369, 0.369, 0.369], [0.631, 0.631, 0.631], [0.878, 0.878, 0.878]]}

---

{"formula": "PmCdHgPt", "functional": "PBE", "state": "relaxed", "magnetic_moment_mub_per_cell": 0.00, "e_form_ev_per_atom": -0.559, "n_ef_per_ev_fu": 2.85, "final_energy_ev_per_atom": -3.5612, "lattice_angstrom": [[0.000, 3.549, 3.549], [3.549, 0.000, 3.549], [3.549, 3.549, 0.000]], "species": ["Pm", "Cd", "Hg", "Pt"], "fractional_positions": [[0.000, 0.000, 0.000], [0.500, 0.500, 0.500], [0.750, 0.750, 0.750], [0.250, 0.250, 0.250]]}

---

{"formula": "Pm4CdHg2Pt", "functional": "PBE", "state": "relaxed", "magnetic_moment_mub_per_cell": 0.00, "e_form_ev_per_atom": -0.603, "n_ef_per_ev_fu": 6.69, "final_energy_ev_per_atom": -3.9233, "lattice_angstrom": [[2.659, 1.535, 8.637], [-2.659, 1.535, 8.637], [0.000, -3.070, 8.637]], "species": ["Pm", "Pm", "Pm", "Pm", "Cd", "Hg", "Hg", "Pt"], "fractional_positions": [[0.115, 0.115, 0.115], [0.368, 0.368, 0.368], [0.632, 0.632, 0.632], [0.885, 0.885, 0.885], [0.500, 0.500, 0.500], [0.239, 0.239, 0.239], [0.761, 0.761, 0.761], [0.000, 0.000, 0.000]]}

---

{"formula": "PmPuCdHg", "functional": "PBE", "state": "relaxed", "magnetic_moment_mub_per_cell": 6.28, "e_form_ev_per_atom": -0.186, "n_ef_per_ev_fu": 11.27, "final_energy_ev_per_atom": -5.2611, "lattice_angstrom": [[0.000, 3.802, 3.802], [3.802, 0.000, 3.802], [3.802, 3.802, 0.000]], "species": ["Pm", "Pu", "Cd", "Hg"], "fractional_positions": [[0.000, 0.000, 0.000], [0.500, 0.500, 0.500], [0.750, 0.750, 0.750], [0.250, 0.250, 0.250]]}

---

{"formula": "PmCdHgRh", "functional": "PBE", "state": "relaxed", "magnetic_moment_mub_per_cell": 0.00, "e_form_ev_per_atom": -0.327, "n_ef_per_ev_fu": 2.48, "final_energy_ev_per_atom": -3.6564, "lattice_angstrom": [[0.000, 3.521, 3.521], [3.521, 0.000, 3.521], [3.521, 3.521, 0.000]], "species": ["Pm", "Cd", "Hg", "Rh"], "fractional_positions": [[0.000, 0.000, 0.000], [0.500, 0.500, 0.500], [0.250, 0.250, 0.250], [0.750, 0.750, 0.750]]}

---

{"formula": "Pm5CdHg2Rh2", "functional": "PBE", "state": "relaxed", "magnetic_moment_mub_per_cell": 0.00, "e_form_ev_per_atom": -0.453, "n_ef_per_ev_fu": 7.78, "final_energy_ev_per_atom": -4.4509, "lattice_angstrom": [[11.982, 0.000, 0.000], [0.000, 11.982, 0.000], [0.000, 0.000, 3.784]], "species": ["Pm", "Pm", "Pm", "Pm", "Pm", "Pm", "Pm", "Pm", "Pm", "Pm", "Cd", "Cd", "Hg", "Hg", "Hg", "Hg", "Rh", "Rh", "Rh", "Rh"], "fractional_positions": [[0.000, 0.500, 0.000], [0.086, 0.203, 0.000], [0.203, 0.914, 0.000], [0.297, 0.414, 0.000], [0.414, 0.703, 0.000], [0.500, 0.000, 0.000], [0.586, 0.297, 0.000], [0.703, 0.586, 0.000], [0.797, 0.086, 0.000], [0.914, 0.797, 0.000], [0.000, 0.000, 0.500], [0.500, 0.500, 0.500], [0.172, 0.672, 0.500], [0.328, 0.172, 0.500], [0.672, 0.828, 0.500], [0.828, 0.328, 0.500], [0.129, 0.371, 0.500], [0.371, 0.871, 0.500], [0.629, 0.129, 0.500], [0.871, 0.629, 0.500]]}

---

{"formula": "Pm4CdHg2Ru", "functional": "PBE", "state": "relaxed", "magnetic_moment_mub_per_cell": 0.00, "e_form_ev_per_atom": -0.381, "n_ef_per_ev_fu": 5.68, "final_energy_ev_per_atom": -4.1058, "lattice_angstrom": [[2.655, 1.533, 8.551], [-2.655, 1.533, 8.551], [0.000, -3.066, 8.551]], "species": ["Pm", "Pm", "Pm", "Pm", "Cd", "Hg", "Hg", "Ru"], "fractional_positions": [[0.112, 0.112, 0.112], [0.367, 0.367, 0.367], [0.633, 0.633, 0.633], [0.888, 0.888, 0.888], [0.500, 0.500, 0.500], [0.238, 0.238, 0.238], [0.762, 0.762, 0.762], [0.000, 0.000, 0.000]]}

---

{"formula": "PmScCdHg", "functional": "PBE", "state": "relaxed", "magnetic_moment_mub_per_cell": 0.63, "e_form_ev_per_atom": -0.357, "n_ef_per_ev_fu": 3.96, "final_energy_ev_per_atom": -3.4315, "lattice_angstrom": [[0.000, 3.686, 3.686], [3.686, 0.000, 3.686], [3.686, 3.686, 0.000]], "species": ["Pm", "Sc", "Cd", "Hg"], "fractional_positions": [[0.000, 0.000, 0.000], [0.500, 0.500, 0.500], [0.250, 0.250, 0.250], [0.750, 0.750, 0.750]]}

---

{"formula": "Pm2ScCdHg4", "functional": "PBE", "state": "relaxed", "magnetic_moment_mub_per_cell": 0.00, "e_form_ev_per_atom": -0.440, "n_ef_per_ev_fu": 3.67, "final_energy_ev_per_atom": -2.6840, "lattice_angstrom": [[2.580, 1.490, 8.584], [-2.580, 1.490, 8.584], [0.000, -2.979, 8.584]], "species": ["Pm", "Pm", "Sc", "Cd", "Hg", "Hg", "Hg", "Hg"], "fractional_positions": [[0.244, 0.244, 0.244], [0.756, 0.756, 0.756], [0.000, 0.000, 0.000], [0.500, 0.500, 0.500], [0.120, 0.120, 0.120], [0.368, 0.368, 0.368], [0.632, 0.632, 0.632], [0.880, 0.880, 0.880]]}

---

{"formula": "PmScCd2Hg4", "functional": "PBE", "state": "relaxed", "magnetic_moment_mub_per_cell": 0.00, "e_form_ev_per_atom": -0.329, "n_ef_per_ev_fu": 3.38, "final_energy_ev_per_atom": -2.0939, "lattice_angstrom": [[2.525, 1.458, 8.326], [-2.525, 1.458, 8.326], [0.000, -2.916, 8.326]], "species": ["Pm", "Sc", "Cd", "Cd", "Hg", "Hg", "Hg", "Hg"], "fractional_positions": [[0.000, 0.000, 0.000], [0.500, 0.500, 0.500], [0.251, 0.251, 0.251], [0.749, 0.749, 0.749], [0.130, 0.130, 0.130], [0.381, 0.381, 0.381], [0.619, 0.619, 0.619], [0.870, 0.870, 0.870]]}

---

{"formula": "PmSc2CdHg4", "functional": "PBE", "state": "relaxed", "magnetic_moment_mub_per_cell": 0.00, "e_form_ev_per_atom": -0.335, "n_ef_per_ev_fu": 5.92, "final_energy_ev_per_atom": -2.7770, "lattice_angstrom": [[2.474, 1.429, 8.941], [-2.474, 1.429, 8.941], [0.000, -2.857, 8.941]], "species": ["Pm", "Sc", "Sc", "Cd", "Hg", "Hg", "Hg", "Hg"], "fractional_positions": [[0.000, 0.000, 0.000], [0.239, 0.239, 0.239], [0.761, 0.761, 0.761], [0.500, 0.500, 0.500], [0.123, 0.123, 0.123], [0.384, 0.384, 0.384], [0.616, 0.616, 0.616], [0.877, 0.877, 0.877]]}